Record 1
Below is a relaxed structure of CoNCl3, with properties calculated at the GGA-PBE level.

Cell lengths 4.494, 4.494, 4.494 Å; angles 90.00, 90.00, 90.00 degrees
Element x y z (fractional)
Cl (0.500, 0.000, 0.000)
Cl (0.000, 0.000, 0.500)
Cl (0.000, 0.500, 0.000)
N (0.500, 0.500, 0.500)
Co (0.000, 0.000, 0.000)

SG ... Pm-3m, No. 221
Final energy ... -2.955 eV per atom
Energy above the lowest structure with this stoichiometry ... 1149 meV per atom
Calculated volume ... 90.8 Å³ per cell



Record 2
Below is a relaxed structure of LiCr2Tc, with properties calculated at the GGA-PBE level.

Cell lengths 4.239, 2.474, 4.807 Å; angles 80.95, 90.00, 90.00 degrees
Element x y z (fractional)
Tc (0.500, 0.750, 0.750)
Cr (0.000, 0.994, 0.002)
Cr (0.000, 0.506, 0.498)
Li (0.500, 0.250, 0.250)

Energy relative to the elements ... 301 meV per atom
SG ... P2/m, No. 10
Final energy ... -7.580 eV per atom
Calculated volume ... 49.8 Å³ per cell



Record 3
Below is a relaxed structure of GdLuCdBi, with properties calculated at the GGA-PBE level.

Cell lengths 5.383, 5.383, 5.383 Å; angles 60.00, 60.00, 60.00 degrees
Site moments in Bohr magnetons follow the coordinates.
Element x y z (fractional)
Lu (0.500, 0.500, 0.500)  -0.15
Gd (0.000, 0.000, 0.000)  -7.15
Bi (0.250, 0.250, 0.250)  0.01
Cd (0.750, 0.750, 0.750)  0.01

Energy relative to the elements ... -398 meV per atom
SG ... F-43m, No. 216
Final energy ... -6.248 eV per atom
Calculated volume ... 110.3 Å³ per cell



Record 4
Below is a relaxed structure of Al8Zn4Ga3, with properties calculated at the GGA-PBE level.

Cell lengths 9.277, 7.618, 7.618 Å; angles 90.99, 127.19, 127.19 degrees
Element x y z (fractional)
Ga (0.500, 0.000, 0.500)
Ga (0.500, 0.500, 0.500)
Ga (0.500, 0.500, 0.000)
Al (0.997, 0.739, 0.739)
Al (0.500, 0.749, 0.251)
Al (0.000, 0.633, 0.367)
Al (0.003, 0.261, 0.261)
Al (0.500, 0.251, 0.749)
Al (0.502, 0.757, 0.757)
Al (0.498, 0.243, 0.243)
Al (0.000, 0.367, 0.633)
Zn (0.500, 0.000, 0.000)
Zn (0.000, 0.500, 0.000)
Zn (0.000, 0.000, 0.500)
Zn (0.000, 0.000, 0.000)

Energy relative to the elements ... 150 meV per atom
SG ... C2/m, No. 12
Final energy ... -2.792 eV per atom
Calculated volume ... 272.7 Å³ per cell